No. 1
# BeAsRuBr2 | Alexandria | PBE | relaxed
# **Raw total energy**: -3.435 eV per atom
# **Space group**: P4/mmm (123)
data_BeAsRuBr2
_chemical_formula_sum 'Be1 As1 Ru1 Br2'
_space_group_name_H-M_alt 'P 1'
_space_group_IT_number 1
_cell_length_a 5.1950
_cell_length_b 5.1950
_cell_length_c 4.6502
_cell_angle_alpha 90.00
_cell_angle_beta 90.00
_cell_angle_gamma 90.00
loop_
_space_group_symop_operation_xyz
'x,y,z'
loop_
_atom_site_label
_atom_site_fract_x
_atom_site_fract_y
_atom_site_fract_z
Be1 0.0000 0.0000 0.0000
As1 0.5000 0.5000 0.0000
Ru1 0.5000 0.5000 0.5000
Br1 0.0000 0.5000 0.5000
Br2 0.5000 0.0000 0.5000

***

No. 2
# Ta2CrNiH | Alexandria | PBE | relaxed
# **Raw total energy**: -8.559 eV per atom
# **Space group**: P4/mmm (123)
data_Ta2CrNiH
_chemical_formula_sum 'Ta2 Cr1 Ni1 H1'
_space_group_name_H-M_alt 'P 1'
_space_group_IT_number 1
_cell_length_a 4.2779
_cell_length_b 4.2779
_cell_length_c 3.3355
_cell_angle_alpha 90.00
_cell_angle_beta 90.00
_cell_angle_gamma 90.00
loop_
_space_group_symop_operation_xyz
'x,y,z'
loop_
_atom_site_label
_atom_site_fract_x
_atom_site_fract_y
_atom_site_fract_z
Ta1 0.0000 0.5000 0.0000
Ta2 0.5000 0.0000 0.0000
Cr1 0.0000 0.0000 0.5000
Ni1 0.5000 0.5000 0.5000
H1 0.5000 0.5000 0.0000

***

No. 3
# Cu2HPt | Alexandria | PBE | relaxed
# **Raw total energy**: -4.191 eV per atom
# **Space group**: P6/mmm (191)
data_Cu2HPt
_chemical_formula_sum 'Cu2 H1 Pt1'
_space_group_name_H-M_alt 'P 1'
_space_group_IT_number 1
_cell_length_a 4.0563
_cell_length_b 4.0563
_cell_length_c 3.2942
_cell_angle_alpha 90.00
_cell_angle_beta 90.00
_cell_angle_gamma 120.00
loop_
_space_group_symop_operation_xyz
'x,y,z'
loop_
_atom_site_label
_atom_site_fract_x
_atom_site_fract_y
_atom_site_fract_z
Cu1 0.3333 0.6667 0.0000
Cu2 0.6667 0.3333 0.0000
H1 0.0000 0.0000 0.0000
Pt1 0.0000 0.0000 0.5000

***

No. 4
# Pm3CuGe2 | Alexandria | PBE | relaxed
# **Raw total energy**: -5.274 eV per atom
# **Space group**: Pnma (62)
# **Energy relative to the elements**: -0.68 eV/atom
data_Pm3CuGe2
_chemical_formula_sum 'Pm12 Cu4 Ge8'
_space_group_name_H-M_alt 'P 1'
_space_group_IT_number 1
_cell_length_a 11.7459
_cell_length_b 4.2986
_cell_length_c 11.7477
_cell_angle_alpha 90.00
_cell_angle_beta 90.00
_cell_angle_gamma 90.00
loop_
_space_group_symop_operation_xyz
'x,y,z'
loop_
_atom_site_label
_atom_site_fract_x
_atom_site_fract_y
_atom_site_fract_z
Pm1 0.0581 0.2500 0.1249
Pm2 0.1234 0.7500 0.5623
Pm3 0.2092 0.2500 0.8049
Pm4 0.2908 0.7500 0.3049
Pm5 0.3766 0.2500 0.0623
Pm6 0.4419 0.7500 0.6249
Pm7 0.5581 0.2500 0.3751
Pm8 0.6234 0.7500 0.9377
Pm9 0.7092 0.2500 0.6951
Pm10 0.7908 0.7500 0.1951
Pm11 0.8766 0.2500 0.4377
Pm12 0.9419 0.7500 0.8751
Cu1 0.1309 0.2500 0.3681
Cu2 0.3691 0.7500 0.8681
Cu3 0.6309 0.2500 0.1319
Cu4 0.8691 0.7500 0.6319
Ge1 0.0225 0.7500 0.3170
Ge2 0.1896 0.7500 0.9951
Ge3 0.3104 0.2500 0.4951
Ge4 0.4775 0.2500 0.8170
Ge5 0.5225 0.7500 0.1830
Ge6 0.6896 0.7500 0.5049
Ge7 0.8104 0.2500 0.0049
Ge8 0.9775 0.2500 0.6830